A plane-wave DFT calculation with PBE was carried out for BaAl4Ga2 after structural relaxation.

The structure in extended XYZ format:
```
14
Lattice="4.5968 0.0000 0.0000 0.0000 14.9842 0.0000 0.0000 0.0000 4.3648" Properties=species:S:1:pos:R:3 pbc="T T T"
Ba 0.0000 0.0000 0.0000
Ba 2.2984 7.4921 0.0000
Al 0.0000 2.8384 2.1824
Al 0.0000 4.5561 0.0000
Al 0.0000 10.4280 0.0000
Al 0.0000 12.1457 2.1824
Al 2.2984 2.9359 0.0000
Al 2.2984 4.6537 2.1824
Al 2.2984 10.3305 2.1824
Al 2.2984 12.0482 0.0000
Ga 0.0000 6.0733 2.1824
Ga 0.0000 8.9109 2.1824
Ga 2.2984 1.4188 2.1824
Ga 2.2984 13.5654 2.1824
```

Results
- total DFT energy (no corrections) (eV per atom) = -3.4872
- SG = No. 65

=====

A plane-wave DFT calculation with PBE was carried out for Sm2Y3Pb4 after structural relaxation.

The structure in extended XYZ format:
```
18
Lattice="8.4985 0.0000 0.0000 0.0000 8.4256 0.0000 -3.0534 0.0000 7.5872" Properties=species:S:1:pos:R:3 pbc="T T T"
Sm 1.4846 1.5149 0.4173
Sm -0.0421 2.6979 4.2109
Sm 5.4871 5.7277 3.3764
Sm 3.9604 6.9107 7.1700
Y 1.3503 5.5588 1.7830
Y -0.1764 7.0796 5.5766
Y 2.7225 0.0000 3.7936
Y 4.2492 4.2128 0.0000
Y 5.6214 1.3460 2.0106
Y 4.0947 2.8668 5.8042
Pb -1.7930 4.5340 6.2700
Pb -0.2663 8.1044 2.4764
Pb 1.5346 1.1900 6.5209
Pb 3.0613 3.0228 2.7272
Pb 2.3838 5.4028 4.8600
Pb 3.9105 7.2356 1.0664
Pb 5.7113 0.3212 5.1108
Pb 7.2381 3.8916 1.3172
```

Results
- total DFT energy (no corrections) (eV per atom) = -5.4526
- SG = No. 14

=====

A plane-wave DFT calculation with PBE was carried out for Na6NiAs2 after structural relaxation.

The structure in extended XYZ format:
```
9
Lattice="2.5564 1.4759 9.1647 -2.5564 1.4759 9.1647 0.0000 -2.9519 9.1647" Properties=species:S:1:pos:R:3 pbc="T T T"
Na 0.0000 0.0000 2.2027
Na 0.0000 0.0000 5.4287
Na 0.0000 0.0000 8.4817
Na 0.0000 0.0000 19.0123
Na 0.0000 0.0000 22.0653
Na 0.0000 0.0000 25.2913
Ni 0.0000 0.0000 13.7470
As 0.0000 0.0000 11.4319
As 0.0000 0.0000 16.0621
```

Results
- total DFT energy (no corrections) (eV per atom) = -2.8399
- SG = No. 166

=====

A plane-wave DFT calculation with PBE was carried out for Tb2SmCu after structural relaxation.

The structure in extended XYZ format:
```
12
Lattice="3.6081 0.0000 0.0000 -1.8040 3.1247 0.0000 0.0000 0.0000 30.0026" Properties=species:S:1:pos:R:3 pbc="T T T"
Tb 0.0000 0.0000 7.0254
Tb 0.0000 0.0000 22.9772
Tb 0.0000 2.0831 12.9763
Tb 0.0000 2.0831 27.0272
Tb 1.8040 1.0416 2.9754
Tb 1.8040 1.0416 17.0263
Sm 0.0000 0.0000 0.0000
Sm 0.0000 2.0831 20.0018
Sm 1.8040 1.0416 10.0009
Cu 0.0000 0.0000 15.0013
Cu 0.0000 2.0831 5.0004
Cu 1.8040 1.0416 25.0022
```

Results
- E above lowest polymorph (eV/atom) = 0.129
- total DFT energy (no corrections) (eV per atom) = -4.4851
- SG = No. 166

=====

Which energy relative to the elements belongs to each record? In order, -0.209 -0.601 -0.285 0.034 eV per atom.